## RbCaTaPb2 (PBE)

Data for a relaxed RbCaTaPb2 crystal.

Calculated volume: 196.7 Å³/f.u.
Density: 6.1 g cm⁻³
Formation energy from the elements: 1.718 eV/atom

Unit cell a=5.988 b=5.988 c=5.488 alpha=90.00 beta=90.00 gamma=90.00
Atoms (fractional coordinates):
Rb: 0.000 0.000 0.000
Ca: 0.500 0.500 0.500
Ta: 0.000 0.000 0.500
Pb: 0.000 0.500 0.000
Pb: 0.500 0.000 0.000